Record 1
4
Lattice="3.702 0.000 0.000 1.851 3.206 0.000 1.851 1.069 9.602" Properties=species:S:1:pos:R:3 comment="PBE DyLuTl2, relaxed" dft_energy_ev_per_cell=-14.814 ef_mev_per_atom=-240 pbc="T T T"
Dy 3.702 2.137 4.801
Tl 1.851 1.069 2.367
Tl 5.553 3.206 7.235
Lu 0.000 0.000 0.000

Record 2
4
Lattice="-1.204 -2.287 -2.363 2.652 0.813 -2.138 5.492 -7.132 4.103" Properties=species:S:1:pos:R:3 comment="PBE Dy2TmLu, relaxed" dft_energy_ev_per_cell=-18.093 ef_mev_per_atom=26 pbc="T T T"
Dy 1.368 -1.777 1.022
Dy 4.124 -5.355 3.081
Lu 0.724 -0.737 -2.251
Tm 3.470 -4.303 -0.199

Record 3
6
Lattice="6.441 0.000 0.000 3.220 5.578 0.000 3.220 1.859 5.259" Properties=species:S:1:pos:R:3 comment="PBE DyTmLu4, relaxed" dft_energy_ev_per_cell=-25.496 ef_mev_per_atom=277 pbc="T T T"
Tm 0.000 0.000 0.000
Lu 4.829 4.649 3.288
Lu 6.441 1.858 3.288
Lu 6.441 3.719 0.655
Lu 8.053 4.649 3.288
Dy 3.220 1.859 1.315

Record 4
4
Lattice="-4.705 -2.922 -0.746 0.166 -5.585 -0.099 -2.167 -2.935 4.233" Properties=species:S:1:pos:R:3 comment="PBE Dy2TmLu, relaxed" dft_energy_ev_per_cell=-17.689 ef_mev_per_atom=127 pbc="T T T"
Dy -5.029 -8.582 2.541
Dy -1.676 -2.861 0.847
Tm -3.353 -5.721 1.694
Lu 0.000 0.000 0.000

Record 5
4
Lattice="-2.820 0.663 3.994 2.049 -3.993 2.109 3.515 2.864 2.007" Properties=species:S:1:pos:R:3 comment="PBE Dy2TmLu, relaxed" dft_energy_ev_per_cell=-18.091 ef_mev_per_atom=26 pbc="T T T"
Dy 1.024 -1.996 1.055
Dy 1.758 1.432 1.003
Tm 1.372 -0.233 4.055
Lu -1.410 0.331 1.997

Record 6
3
Lattice="-2.771 1.611 -1.365 -1.992 -1.247 2.572 3.876 5.847 3.477" Properties=species:S:1:pos:R:3 comment="PBE DyTmLu, relaxed" dft_energy_ev_per_cell=-13.510 ef_mev_per_atom=28 pbc="T T T"
Dy 0.001 0.003 0.002
Lu -1.882 2.199 1.969
Tm 0.994 4.009 2.714

Record 7
3
Lattice="3.407 0.000 0.000 0.000 5.525 0.000 0.000 -2.763 4.785" Properties=species:S:1:pos:R:3 comment="PBE DyTmLu, relaxed" dft_energy_ev_per_cell=-13.339 ef_mev_per_atom=85 pbc="T T T"
Dy 2.271 2.763 1.595
Lu 0.567 0.000 0.000
Tm 0.569 0.000 3.190

Record 8
4
Lattice="-0.150 2.654 2.283 -1.153 -0.558 3.261 10.197 -1.596 5.214" Properties=species:S:1:pos:R:3 comment="PBE Dy2TmLu, relaxed" dft_energy_ev_per_cell=-18.090 ef_mev_per_atom=27 pbc="T T T"
Tm 0.000 0.000 0.000
Dy 6.663 0.377 8.067
Dy 2.231 0.123 2.692
Lu 4.447 0.250 5.379

Record 9
4
Lattice="5.433 0.000 0.000 2.716 4.705 0.000 2.716 1.568 4.436" Properties=species:S:1:pos:R:3 comment="PBE DyTmLuZr, relaxed" dft_energy_ev_per_cell=-21.348 ef_mev_per_atom=199 pbc="T T T"
Zr 0.000 0.000 0.000
Dy 5.433 3.137 2.218
Tm 2.716 1.568 1.109
Lu 8.149 4.705 3.327

Record 10
4
Lattice="5.511 0.000 0.000 2.756 4.773 0.000 2.756 1.591 4.499" Properties=species:S:1:pos:R:3 comment="PBE Dy2LuU, relaxed" dft_energy_ev_per_cell=-23.142 ef_mev_per_atom=468 pbc="T T T"
Dy 8.267 4.773 3.374
Dy 2.756 1.591 1.125
Lu 5.511 3.182 2.250
U 0.000 0.000 0.000

Record 11
4
Lattice="3.393 0.000 0.000 1.697 2.939 0.000 1.697 0.980 10.414" Properties=species:S:1:pos:R:3 comment="PBE DyLu2V, relaxed" dft_energy_ev_per_cell=-21.443 ef_mev_per_atom=330 pbc="T T T"
V 0.000 0.000 0.000
Dy 3.393 1.959 5.207
Lu 5.090 2.939 8.191
Lu 1.697 0.980 2.223

Record 12
4
Lattice="-2.781 0.346 2.149 -2.072 -1.490 -2.442 1.591 -7.594 3.285" Properties=species:S:1:pos:R:3 comment="PBE DyLu2V, relaxed" dft_energy_ev_per_cell=-22.019 ef_mev_per_atom=186 pbc="T T T"
Lu 0.317 -1.514 0.655
Lu 1.274 -6.080 2.630
Dy -1.631 -4.369 1.496
V -2.427 -0.572 -0.146

Record 13
4
Lattice="3.346 0.000 0.000 1.673 2.898 0.000 1.673 0.966 11.326" Properties=species:S:1:pos:R:3 comment="PBE Dy2LuV, relaxed" dft_energy_ev_per_cell=-20.439 ef_mev_per_atom=601 pbc="T T T"
V 0.000 0.000 0.000
Dy 1.673 0.966 8.514
Dy 5.019 2.898 2.812
Lu 3.346 1.932 5.663

Record 14
6
Lattice="5.356 0.000 0.000 2.678 4.639 0.000 2.678 1.546 4.373" Properties=species:S:1:pos:R:3 comment="PBE DyLuV4, relaxed" dft_energy_ev_per_cell=-43.556 ef_mev_per_atom=340 pbc="T T T"
V 4.010 3.870 2.736
V 5.356 1.538 2.736
V 5.356 3.092 0.538
V 6.702 3.870 2.736
Dy 2.678 1.546 1.093
Lu 0.000 0.000 0.000

Record 15
6
Lattice="-4.832 2.596 0.608 -4.715 -2.659 -1.075 -3.383 -1.398 4.131" Properties=species:S:1:pos:R:3 comment="PBE DyLuW4, relaxed" dft_energy_ev_per_cell=-60.270 ef_mev_per_atom=111 pbc="T T T"
W -5.724 0.417 2.827
W -8.082 -0.913 2.290
W -6.390 -0.214 0.224
W -5.665 -2.211 1.986
Lu 0.000 0.000 0.000
Dy -3.233 -0.365 0.916

Record 16
4
Lattice="5.649 0.000 0.000 2.824 4.892 0.000 2.824 1.631 4.612" Properties=species:S:1:pos:R:3 comment="PBE DyY2Lu, relaxed" dft_energy_ev_per_cell=-21.510 ef_mev_per_atom=135 pbc="T T T"
Y 8.473 4.892 3.459
Y 2.824 1.631 1.153
Dy 0.000 0.000 0.000
Lu 5.649 3.261 2.306

Record 17
4
Lattice="-2.435 4.265 -0.974 -4.342 -2.230 1.088 0.493 1.374 4.783" Properties=species:S:1:pos:R:3 comment="PBE DyY2Lu, relaxed" dft_energy_ev_per_cell=-21.933 ef_mev_per_atom=30 pbc="T T T"
Y 0.246 0.687 2.391
Y -2.171 -1.115 0.544
Lu -3.142 1.704 2.448
Dy -1.217 2.132 -0.487

Record 18
4
Lattice="-1.000 2.135 -2.549 -1.852 -1.229 -2.667 -11.388 2.729 4.390" Properties=species:S:1:pos:R:3 comment="PBE DyY2Lu, relaxed" dft_energy_ev_per_cell=-21.225 ef_mev_per_atom=207 pbc="T T T"
Y -5.650 1.557 -3.573
Y -8.591 2.079 2.747
Dy -7.120 1.818 -0.413
Lu 0.000 0.000 0.000

Record 19
4
Lattice="3.536 0.000 0.000 0.000 3.536 0.000 0.000 0.000 10.014" Properties=species:S:1:pos:R:3 comment="PBE DyY2Lu, relaxed" dft_energy_ev_per_cell=-21.935 ef_mev_per_atom=29 pbc="T T T"
Lu 1.768 1.768 0.000
Y 0.000 0.000 7.534
Y 0.000 0.000 2.480
Dy 1.768 1.768 5.007

Record 20
4
Lattice="-2.347 0.106 -4.944 3.103 -0.170 -4.506 0.025 -4.485 -3.138" Properties=species:S:1:pos:R:3 comment="PBE DyYLuZr, relaxed" dft_energy_ev_per_cell=-23.307 ef_mev_per_atom=207 pbc="T T T"
Zr 0.195 -1.137 -3.147
Lu 0.000 0.000 0.000
Dy 0.391 -2.275 -6.294
Y 0.586 -3.412 -9.442